Density functional theory data (PBE-GGA) for a relaxed structure of Dy7Ni2Bi2.

Cell lengths 3.7011, 9.6937, 9.6937 Å; angles 62.12, 78.99, 78.99 degrees
Sites, in units of the cell vectors:
1 Dy 0.1842 0.7210 0.9105
2 Dy 0.8158 0.0895 0.2790
3 Dy 0.3667 0.7325 0.5342
4 Dy 0.5000 0.0379 0.9621
5 Dy 0.8449 0.4036 0.9066
6 Dy 0.6333 0.4658 0.2675
7 Dy 0.1551 0.0934 0.5964
8 Bi 0.0000 0.7684 0.2316
9 Bi 0.5000 0.3606 0.6394
10 Ni 0.7389 0.8517 0.6705
11 Ni 0.2611 0.3295 0.1483

## Properties
Volume: 299.7 Å³ per cell
SG: No. 44
ΔH_f (0 K): -0.447 eV per atom
Final energy: -56.5 eV/cell